Entry 1:
Ba2ZrAu | GGA-PBEsol | relaxed

Output
As for the magnetic moment: 1.52 μB/f.u. As for the symmetry: No. 119. The energy relative to the elements is 0.365 eV per atom. The total energy comes out at -15.9 eV per cell.

a = 6.360 Å, b = 6.360 Å, c = 6.360 Å
α = 136.44°, β = 136.44°, γ = 63.30°
Fractional coordinates of all 4 atoms:
Ba  0.000  0.000  0.000
Ba  0.750  0.250  0.500
Zr  0.500  0.500  0.000
Au  0.250  0.750  0.500

=====

Entry 2:
InSiMo2 | GGA-PBEsol | relaxed

Output
As for the magnetic moment: 0.00 μB/f.u. The formation energy from raw total energies is 369 meV/atom. As for the symmetry: No. 216. The total energy comes out at -30.8 eV per cell.

a = 4.471 Å, b = 4.471 Å, c = 4.471 Å
α = 60.00°, β = 60.00°, γ = 60.00°
Fractional coordinates of all 4 atoms:
In  0.000  0.000  0.000
Si  0.750  0.750  0.750
Mo  0.250  0.250  0.250
Mo  0.500  0.500  0.500

=====

Entry 3:
CrReIr2 | GGA-PBEsol | relaxed

Output
As for the magnetic moment: 0.00 μB/f.u. As for the symmetry: No. 123. The energy relative to the elements is -0.162 eV per atom. The total energy comes out at -43.9 eV per cell.

a = 3.779 Å, b = 3.779 Å, c = 3.796 Å
α = 90.00°, β = 90.00°, γ = 90.00°
Fractional coordinates of all 4 atoms:
Cr  0.000  0.000  0.000
Re  0.500  0.500  0.000
Ir  0.000  0.500  0.500
Ir  0.500  0.000  0.500

=====

Entry 4:
Be3P | GGA-PBEsol | relaxed

Output
As for the magnetic moment: 0.00 μB/f.u. As for the symmetry: No. 123. The energy relative to the elements is 0.222 eV per atom. The total energy comes out at -16.9 eV per cell.

a = 3.094 Å, b = 3.094 Å, c = 4.198 Å
α = 90.00°, β = 90.00°, γ = 90.00°
Fractional coordinates of all 4 atoms:
Be  0.000  0.000  0.000
Be  0.500  0.500  0.254
Be  0.500  0.500  0.746
P  0.000  0.000  0.500

=====

Entry 5:
MgIn3S | GGA-PBEsol | relaxed

Output
As for the magnetic moment: 0.00 μB/f.u. The formation energy from raw total energies is 243 meV/atom. As for the symmetry: No. 221. The total energy comes out at -13.8 eV per cell.

a = 5.238 Å, b = 5.238 Å, c = 5.238 Å
α = 90.00°, β = 90.00°, γ = 90.00°
Fractional coordinates of all 5 atoms:
Mg  0.000  0.000  0.000
In  0.000  0.500  0.500
In  0.500  0.000  0.500
In  0.500  0.500  0.000
S  0.500  0.500  0.500

=====

Entry 6:
MgBeS2 | GGA-PBEsol | relaxed

Output
As for the magnetic moment: 0.00 μB/f.u. The formation energy from raw total energies is -1203 meV/atom. As for the symmetry: No. 122. The total energy comes out at -38.6 eV per cell.

a = 6.263 Å, b = 6.263 Å, c = 6.263 Å
α = 129.35°, β = 129.35°, γ = 74.45°
Fractional coordinates of all 8 atoms:
Mg  0.000  0.000  0.000
Mg  0.750  0.250  0.500
Be  0.250  0.750  0.500
Be  0.500  0.500  0.000
S  0.176  0.625  0.051
S  0.375  0.426  0.551
S  0.574  0.125  0.949
S  0.875  0.824  0.449